{
  "formula": "HgPt2F2",
  "functional": "PBE",
  "state": "optimized geometry",
  "lattice": [[-4.9771, -1.3520, 6.8489], [6.7772, -2.9537, 4.3419], [0.5346, 2.5329, 0.8885]],
  "species": ["F", "Hg", "Hg", "F", "Pt", "Pt", "Pt", "Pt", "F", "F"],
  "fractional_positions": [[0.2327, 0.7327, 0.0000], [0.5000, 0.5000, 0.0000], [0.0000, 0.0000, 0.0000], [0.7673, 0.2673, 0.0000], [0.0980, 0.5980, 0.5000], [0.4020, 0.0980, 0.5000], [0.5980, 0.9020, 0.5000], [0.9020, 0.4020, 0.5000], [0.7327, 0.7673, 0.0000], [0.2673, 0.2327, 0.0000]],
  "spacegroup": "P4/mbm (127)",
  "e_above_lowest_polymorph_mev_per_atom": 0,
  "e_form_raw_ev_per_atom": -0.174,
  "magmom_total_mub_per_cell": 0.000
}

{
  "formula": "TaPNF2",
  "functional": "PBE",
  "state": "optimized geometry",
  "lattice": [[4.1071, 0.0000, 0.0000], [0.0000, 4.1071, 0.0000], [0.0000, 0.0000, 4.0883]],
  "species": ["Ta", "P", "N", "F", "F"],
  "fractional_positions": [[0.0000, 0.0000, 0.0000], [0.5000, 0.5000, 0.5000], [0.0000, 0.0000, 0.5000], [0.0000, 0.5000, 0.0000], [0.5000, 0.0000, 0.0000]],
  "spacegroup": "P4/mmm (123)",
  "e_above_lowest_polymorph_mev_per_atom": 0,
  "e_form_raw_ev_per_atom": -0.703,
  "magmom_total_mub_per_cell": 1.213
}